VHg2F5, optimized geometry, DFT PBE with a Hubbard U; uncorrected energy = -4.161 eV/atom; M_tot = 0.99 μB per formula unit; density = 5436 kg/m3; DOS at the Fermi energy = 0.027 states/eV per atom; V = 20.89 A^3/atom; crystal system = triclinic
1.0
5.289 0.000 0.000
2.577 5.155 0.000
2.143 -0.010 6.129
V Hg F
1 2 5
direct
0.000 0.000 0.000
0.256 0.432 0.483
0.690 0.572 0.477
0.006 0.698 0.945
0.252 0.000 0.714
0.270 0.989 0.111
0.707 0.286 0.937
0.748 0.002 0.287